Entry 1:
Entry from Alexandria: a geometry-optimized NaSr2CaP structure (PBE).

The structure belongs to space group P4/mmm (No. 123); the cell edges are 6.0255, 6.0255 and 5.6369 Å and the angles 90.00°, 90.00° and 90.00°. The distinct sites, in fractional coordinates, are Na at (0.0000, 0.0000, 0.0000), Sr at (0.0000, 0.5000, 0.5000), Ca at (0.5000, 0.5000, 0.0000) and P at (0.5000, 0.5000, 0.5000).

The total energy comes out at -2.907 eV per atom. As for the calculated volume: 40.93 A^3/atom. The value obtained for the total magnetic moment is 0.0 μB/f.u. The value obtained for the energy relative to the elements is -2.44 eV/f.u.

---

Entry 2:
Entry from Alexandria: a geometry-optimized BaNaMo3 structure (PBE).

The structure belongs to space group Pm-3m (No. 221); the cell edges are 5.0645, 5.0645 and 5.0645 Å and the angles 90.00°, 90.00° and 90.00°. The distinct sites, in fractional coordinates, are Ba at (0.0000, 0.0000, 0.0000), Na at (0.5000, 0.5000, 0.5000) and Mo at (0.0000, 0.0000, 0.5000).

The total energy comes out at -4.223 eV per atom. As for the calculated volume: 25.98 A^3/atom. The value obtained for the total magnetic moment is 2.3 μB/f.u. The value obtained for the energy relative to the elements is 14.62 eV/f.u.

---

Entry 3:
Entry from Alexandria: a geometry-optimized TiV2Cu2 structure (PBE).

The structure belongs to space group I4/mmm (No. 139); the cell edges are 3.5610, 3.5610 and 11.6536 Å and the angles 90.00°, 90.00° and 90.00°. The distinct sites, in fractional coordinates, are Ti at (0.0000, 0.0000, 0.0000), V at (0.0000, 0.0000, 0.4051) and Cu at (0.0000, 0.5000, 0.2500).

The total energy comes out at -6.481 eV per atom. As for the calculated volume: 14.78 A^3/atom. The value obtained for the total magnetic moment is 2.0 μB/f.u. The value obtained for the energy relative to the elements is 1.92 eV/f.u.

---

Entry 4:
Entry from Alexandria: a geometry-optimized CdAsWBr2 structure (PBE).

The structure belongs to space group P4/mmm (No. 123); the cell edges are 5.2100, 5.2100 and 4.9338 Å and the angles 90.00°, 90.00° and 90.00°. The distinct sites, in fractional coordinates, are Cd at (0.0000, 0.0000, 0.0000), As at (0.5000, 0.5000, 0.0000), W at (0.5000, 0.5000, 0.5000) and Br at (0.0000, 0.5000, 0.5000).

The total energy comes out at -3.996 eV per atom. As for the calculated volume: 26.79 A^3/atom. The value obtained for the total magnetic moment is 0.6 μB/f.u.